First-principles (PBE) data for a relaxed PrZn2InAu5 crystal, as listed in Alexandria.

Lattice parameters (Å, degrees): 4.9306 4.9306 7.8091 90.00 90.00 90.00
Fractional positions:
Pr 0.0000 0.0000 0.0000
Zn 0.5000 0.5000 0.3450
Zn 0.5000 0.5000 0.6550
In 0.0000 0.0000 0.5000
Au 0.0000 0.5000 0.2461
Au 0.0000 0.5000 0.7539
Au 0.5000 0.0000 0.2461
Au 0.5000 0.0000 0.7539
Au 0.5000 0.5000 0.0000

total DFT energy (no corrections) = -3.233 eV/atom
ΔE_f = -0.29 eV/atom